Density functional theory data (PBE) for crystalline CeScV4 at its relaxed geometry.

Lattice parameters (Å, degrees): 7.416 7.416 7.416 90.00 90.00 90.00
Space group F-43m (No. 216)
Symmetry-distinct sites (fractional):
Ce1 0.000 0.000 0.000 [4 per cell]
Sc1 0.250 0.250 0.750 [4 per cell]
V1 0.126 0.126 0.374 [16 per cell]

Summary:
- Crystal system: cubic
- Formation energy: 207 meV/atom
- Total magnetization: 0.0000 μB per atom
- Total DFT energy (no corrections): -189.989 eV/cell
- Mass density: 6.3 g cm⁻³